HgP2CS: relaxed, PBE.

Cell and atoms, written as POSCAR:
```
HgP2CS
1.0
5.204 0.000 0.000
0.000 3.902 0.000
0.000 0.000 5.204
S P Hg C
1 2 1 1
direct
0.500 0.500 0.500
0.500 0.000 0.000
0.000 0.000 0.500
0.000 0.000 0.000
0.000 0.500 0.000
```

Output
formation energy (no corrections): 2.21 eV/atom
symmetry: No. 123



Zr2NbS2: relaxed, PBE.

Cell and atoms, written as POSCAR:
```
Zr2NbS2
1.0
-1.152 -0.643 6.826
6.849 -0.415 1.117
0.155 3.516 0.357
S Nb Zr
4 2 4
direct
0.150 0.350 0.000
0.850 0.650 0.000
0.350 0.850 0.000
0.650 0.150 0.000
0.500 0.500 0.000
0.000 0.000 0.000
0.841 0.341 0.500
0.659 0.841 0.500
0.159 0.659 0.500
0.341 0.159 0.500
```

Output
formation energy (no corrections): -1.02 eV/atom
symmetry: No. 127



Sc3CdIn: relaxed, PBE.

Cell and atoms, written as POSCAR:
```
Sc3CdIn
1.0
4.836 0.000 1.105
0.000 4.959 0.000
0.342 0.000 9.636
Sc Cd In
6 2 2
direct
0.770 0.250 0.108
0.269 0.750 0.109
0.074 0.750 0.500
0.574 0.250 0.500
0.878 0.750 0.892
0.379 0.250 0.891
0.174 0.250 0.300
0.474 0.750 0.700
0.672 0.750 0.304
0.976 0.250 0.696
```

Output
symmetry: No. 63
formation enthalpy at 0 K: -0.29 eV/atom



VInSi: relaxed, PBE.

Cell and atoms, written as POSCAR:
```
VInSi
1.0
-2.388 2.230 0.676
-1.596 -2.335 2.062
10.075 6.274 14.900
In V Si
4 4 4
direct
0.000 0.250 0.935
0.500 0.250 0.565
0.500 0.750 0.435
0.000 0.750 0.065
0.500 0.750 0.189
0.000 0.250 0.689
0.000 0.750 0.311
0.500 0.250 0.811
0.000 0.750 0.798
0.500 0.250 0.298
0.000 0.250 0.202
0.500 0.750 0.702
```

Output
formation energy (no corrections): -0.08 eV/atom
symmetry: No. 74



PrEuLuSc: relaxed, PBE.

Cell and atoms, written as POSCAR:
```
PrEuLuSc
1.0
-4.285 0.781 3.594
-2.528 -4.449 2.389
0.710 -1.031 5.507
Lu Eu Pr Sc
1 1 1 1
direct
0.000 0.000 0.000
0.750 0.750 0.750
0.250 0.250 0.250
0.500 0.500 0.500
```

Output
symmetry: No. 216
formation enthalpy at 0 K: 0.15 eV/atom



NdDyErTm: relaxed, PBE.

Cell and atoms, written as POSCAR:
```
NdDyErTm
1.0
-3.129 -0.272 1.699
1.107 -2.639 -2.136
6.992 -3.946 8.499
Tm Nd Dy Er
1 1 1 1
direct
0.133 0.965 0.112
0.969 0.383 0.367
0.474 0.134 0.623
0.303 0.549 0.868
```

Output
symmetry: No. 160
formation enthalpy at 0 K: 0.02 eV/atom



Sr8PdRhAu2: relaxed, PBE.

Cell and atoms, written as POSCAR:
```
Sr8PdRhAu2
1.0
-3.584 0.993 6.312
-0.951 -7.130 0.585
7.790 -0.668 4.528
Sr Au Rh Pd
8 2 1 1
direct
0.839 0.228 0.757
0.677 0.752 0.000
0.329 0.256 0.500
0.839 0.228 0.243
0.671 0.744 0.500
0.323 0.248 0.000
0.161 0.772 0.243
0.161 0.772 0.757
0.500 0.500 0.752
0.500 0.500 0.248
0.000 0.000 0.000
0.000 0.000 0.500
```

Output
symmetry: No. 10
formation enthalpy at 0 K: -0.45 eV/atom



LiLa2Cu6Ir: relaxed, PBE.

Cell and atoms, written as POSCAR:
```
LiLa2Cu6Ir
1.0
6.398 -0.321 1.511
-0.503 6.539 -1.536
3.929 2.034 4.880
La Cu Ir Li
2 6 1 1
direct
0.721 0.180 0.541
0.279 0.820 0.459
0.262 0.268 0.495
0.237 0.732 0.007
0.738 0.732 0.505
0.250 0.424 0.827
0.763 0.268 0.993
0.750 0.576 0.173
0.000 0.000 0.000
0.500 0.500 0.000
```

Output
symmetry: No. 2
formation enthalpy at 0 K: -0.15 eV/atom



ScCu2H4: relaxed, PBE.

Cell and atoms, written as POSCAR:
```
ScCu2H4
1.0
4.925 -1.040 2.082
-2.522 4.685 1.168
0.549 -1.040 5.319
H Sc Cu
8 2 4
direct
0.510 0.377 0.812
0.811 0.133 0.377
0.990 0.617 0.072
0.689 0.072 0.938
0.490 0.678 0.133
0.311 0.373 0.617
0.189 0.812 0.678
0.010 0.938 0.373
0.500 0.750 0.750
0.000 0.000 0.000
0.292 0.875 0.333
0.792 0.417 0.875
0.708 0.375 0.417
0.208 0.333 0.375
```

Output
symmetry: No. 122
electronic total energy: -57.4 eV for the cell shown